# 1
## Na2MgCd10 (PBE-GGA)

Data for crystalline Na2MgCd10 at its relaxed geometry.

Cell: 8.8443 14.2616 5.9035 Å, 90.00 90.00 90.00°
Element x y z (fractional)
1 Na 0.2073 0.0854 0.0000
2 Na 0.2927 0.5854 0.0000
3 Na 0.7073 0.4146 0.0000
4 Na 0.7927 0.9146 0.0000
5 Mg 0.0000 0.0000 0.5000
6 Mg 0.5000 0.5000 0.5000
7 Cd 0.0102 0.6685 0.5000
8 Cd 0.1655 0.1715 0.5000
9 Cd 0.1652 0.8342 0.2385
10 Cd 0.1652 0.8342 0.7615
11 Cd 0.1733 0.4934 0.5000
12 Cd 0.3267 0.9934 0.5000
13 Cd 0.3348 0.3342 0.2385
14 Cd 0.3348 0.3342 0.7615
15 Cd 0.3345 0.6715 0.5000
16 Cd 0.4898 0.1685 0.5000
17 Cd 0.5102 0.8315 0.5000
18 Cd 0.6655 0.3285 0.5000
19 Cd 0.6652 0.6658 0.2385
20 Cd 0.6652 0.6658 0.7615
21 Cd 0.6733 0.0066 0.5000
22 Cd 0.8267 0.5066 0.5000
23 Cd 0.8348 0.1658 0.2385
24 Cd 0.8348 0.1658 0.7615
25 Cd 0.8345 0.8285 0.5000
26 Cd 0.9898 0.3315 0.5000

- final energy (eV/atom) = -0.997
- energy relative to the elements (eV/atom) = 0.03
- crystal system = orthorhombic

---

# 2
## NaMg3Cd4 (PBE-GGA)

Data for crystalline NaMg3Cd4 at its relaxed geometry.

Cell: 10.2596 6.5981 5.2956 Å, 90.00 90.00 90.00°
Element x y z (fractional)
1 Na 0.0000 0.0000 0.0000
2 Na 0.5000 0.0000 0.0000
3 Mg 0.0000 0.5000 0.0000
4 Mg 0.2500 0.0000 0.3909
5 Mg 0.2500 0.5000 0.3698
6 Mg 0.5000 0.5000 0.0000
7 Mg 0.7500 0.0000 0.6091
8 Mg 0.7500 0.5000 0.6302
9 Cd 0.0000 0.2580 0.5000
10 Cd 0.0000 0.7420 0.5000
11 Cd 0.2500 0.2570 0.8725
12 Cd 0.2500 0.7430 0.8725
13 Cd 0.5000 0.2580 0.5000
14 Cd 0.5000 0.7420 0.5000
15 Cd 0.7500 0.2570 0.1275
16 Cd 0.7500 0.7430 0.1275

- final energy (eV/atom) = -1.316
- energy relative to the elements (eV/atom) = -0.10
- crystal system = orthorhombic